Record 1
The following is a DFT calculation (PBEsol) of a geometry-optimized Mn3V2Si3O12 structure.

Cell: 11.7877 11.7877 11.7877 Å, 90.00 90.00 90.00°
Space group Ia-3d (No. 230)
Asymmetric unit:
Mn 0.0000 0.2500 0.1250 [24 per cell]
V 0.0000 0.0000 0.0000 [16 per cell]
Si 0.0000 0.2500 0.3750 [24 per cell]
O 0.0353 0.0526 0.6563 [96 per cell]

Values from the calculation:
formation energy (no corrections) = -2.143 eV per atom
total DFT energy (no corrections) = -0.3154 hartree per atom
calculated density = 4.4 g cm⁻³



Record 2
The following is a DFT calculation (PBEsol) of a geometry-optimized NbSiSbCl2 structure.

Cell: 4.6396 4.6396 5.7390 Å, 90.00 90.00 90.00°
Space group P4/mmm (No. 123)
Asymmetric unit:
Nb 0.0000 0.0000 0.0000 [1 per cell]
Si 0.5000 0.5000 0.5000 [1 per cell]
Sb 0.0000 0.0000 0.5000 [1 per cell]
Cl 0.0000 0.5000 0.0000 [2 per cell]

Values from the calculation:
formation energy (no corrections) = 0.122 eV per atom
total DFT energy (no corrections) = -0.1803 hartree per atom
calculated density = 4.2 g cm⁻³



Record 3
The following is a DFT calculation (PBEsol) of a geometry-optimized KMgAl structure.

Cell: 7.3567 7.3567 7.3567 Å, 90.00 90.00 90.00°
Space group F-43m (No. 216)
Asymmetric unit:
K 0.0000 0.0000 0.0000 [4 per cell]
Mg 0.2500 0.2500 0.7500 [4 per cell]
Al 0.0000 0.0000 0.5000 [4 per cell]

Values from the calculation:
calculated formation energy = 162 kJ/mol of formula units
total DFT energy (no corrections) = -0.0645 hartree per atom
calculated density = 1.5 g cm⁻³
ΔE to the lowest computed polymorph = 334.0 meV/atom



Record 4
The following is a DFT calculation (PBEsol) of a geometry-optimized BMoP3 structure.

Cell: 4.6178 4.6178 4.6178 Å, 90.00 90.00 90.00°
Space group Pm-3m (No. 221)
Asymmetric unit:
B 0.0000 0.0000 0.0000 [1 per cell]
Mo 0.5000 0.5000 0.5000 [1 per cell]
P 0.0000 0.5000 0.5000 [3 per cell]

Values from the calculation:
calculated formation energy = 650 kJ/mol of formula units
total DFT energy (no corrections) = -0.2162 hartree per atom
calculated density = 3.4 g cm⁻³



Record 5
The following is a DFT calculation (PBEsol) of a geometry-optimized AgSbPt2 structure.

Cell: 4.1293 4.1293 3.9565 Å, 90.00 90.00 90.00°
Space group P4/mmm (No. 123)
Asymmetric unit:
Ag 0.0000 0.0000 0.0000 [1 per cell]
Sb 0.5000 0.5000 0.0000 [1 per cell]
Pt 0.0000 0.5000 0.5000 [2 per cell]

Values from the calculation:
formation energy (no corrections) = -0.077 eV per atom
total DFT energy (no corrections) = -0.2031 hartree per atom
calculated density = 15.3 g cm⁻³



Record 6
The following is a DFT calculation (PBEsol) of a geometry-optimized AgPb3I structure.

Cell: 5.8618 5.8618 5.8618 Å, 90.00 90.00 90.00°
Space group Pm-3m (No. 221)
Asymmetric unit:
Ag 0.0000 0.0000 0.0000 [1 per cell]
Pb 0.0000 0.5000 0.5000 [3 per cell]
I 0.5000 0.5000 0.5000 [1 per cell]

Values from the calculation:
formation energy (no corrections) = 0.945 eV per atom
total DFT energy (no corrections) = -0.0908 hartree per atom
calculated density = 7.1 g cm⁻³



Record 7
The following is a DFT calculation (PBEsol) of a geometry-optimized CuCl3F structure.

Cell: 4.5186 4.5186 4.5186 Å, 90.00 90.00 90.00°
Space group Pm-3m (No. 221)
Asymmetric unit:
Cu 0.0000 0.0000 0.0000 [1 per cell]
Cl 0.0000 0.5000 0.5000 [3 per cell]
F 0.5000 0.5000 0.5000 [1 per cell]

Values from the calculation:
formation energy (no corrections) = 0.557 eV per atom
total DFT energy (no corrections) = -0.0698 hartree per atom
calculated density = 3.4 g cm⁻³



Record 8
The following is a DFT calculation (PBEsol) of a geometry-optimized LaCoGe3 structure.

Cell: 4.2992 4.2992 9.7699 Å, 90.00 90.00 90.00°
Space group I4mm (No. 107)
Asymmetric unit:
La 0.0000 0.0000 0.0000 [2 per cell]
Co 0.0000 0.0000 0.6641 [2 per cell]
Ge 0.0000 0.0000 0.4315 [2 per cell]
Ge 0.0000 0.5000 0.2573 [4 per cell]

Values from the calculation:
calculated formation energy = -330 kJ/mol of formula units
total DFT energy (no corrections) = -0.2302 hartree per atom
calculated density = 7.6 g cm⁻³



Record 9
The following is a DFT calculation (PBEsol) of a geometry-optimized CaHgPb2 structure.

Cell: 4.7610 4.7610 4.6722 Å, 90.00 90.00 90.00°
Space group P4/mmm (No. 123)
Asymmetric unit:
Ca 0.0000 0.0000 0.0000 [1 per cell]
Hg 0.5000 0.5000 0.0000 [1 per cell]
Pb 0.0000 0.5000 0.5000 [2 per cell]

Values from the calculation:
calculated formation energy = -140 kJ/mol of formula units
total DFT energy (no corrections) = -0.1116 hartree per atom
calculated density = 10.3 g cm⁻³



Record 10
The following is a DFT calculation (PBEsol) of a geometry-optimized PmYIr2 structure.

Cell: 6.8534 6.8534 6.8534 Å, 90.00 90.00 90.00°
Space group Fm-3m (No. 225)
Asymmetric unit:
Pm 0.0000 0.0000 0.0000 [4 per cell]
Y 0.0000 0.0000 0.5000 [4 per cell]
Ir 0.2500 0.2500 0.2500 [8 per cell]

Values from the calculation:
calculated formation energy = -249 kJ/mol of formula units
total DFT energy (no corrections) = -0.3141 hartree per atom
calculated density = 12.8 g cm⁻³



Record 11
The following is a DFT calculation (PBEsol) of a geometry-optimized LaY2Sc structure.

Cell: 5.3939 3.4361 12.9078 Å, 90.00 90.00 90.00°
Space group Amm2 (No. 38)
Asymmetric unit:
La 0.0000 0.0000 0.0000 [2 per cell]
Y 0.0000 0.0000 0.2629 [2 per cell]
Y 0.5000 0.0000 0.6541 [2 per cell]
Sc 0.5000 0.0000 0.3864 [2 per cell]

Values from the calculation:
calculated formation energy = 24 kJ/mol of formula units
total DFT energy (no corrections) = -0.2329 hartree per atom
calculated density = 5.0 g cm⁻³
ΔE to the lowest computed polymorph = 20.1 meV/atom



Record 12
The following is a DFT calculation (PBEsol) of a geometry-optimized CrMo2Ir structure.

Cell: 3.5078 3.9748 8.1262 Å, 90.00 90.00 90.00°
Space group Cmm2 (No. 35)
Asymmetric unit:
Cr 0.0000 0.0000 0.0000 [2 per cell]
Mo 0.0000 0.0000 0.5301 [2 per cell]
Mo 0.0000 0.5000 0.2518 [2 per cell]
Ir 0.0000 0.5000 0.7865 [2 per cell]

Values from the calculation:
calculated formation energy = 21 kJ/mol of formula units
total DFT energy (no corrections) = -0.3986 hartree per atom
calculated density = 12.8 g cm⁻³
ΔE to the lowest computed polymorph = 17.4 meV/atom